{
  "formula": "BaCa2In",
  "functional": "PBE",
  "state": "optimized geometry",
  "spacegroup": "R-3m (166)",
  "e_form_ev_per_atom": -0.10,
  "lattice": [[12.240, -0.061, -0.036], [11.621, 3.844, -0.036], [11.621, 1.843, 3.374]],
  "species": ["Ca", "Ca", "Ba", "In"],
  "frac_coords": [[0.985, 0.985, 0.985], [0.515, 0.515, 0.515], [0.750, 0.750, 0.750], [0.250, 0.250, 0.250]]
}

=====

{
  "formula": "SmAl2Zn",
  "functional": "PBE",
  "state": "optimized geometry",
  "spacegroup": "P4/mmm (123)",
  "e_form_ev_per_atom": -0.33,
  "lattice": [[4.335, 0.000, 0.000], [0.000, 4.321, 0.000], [0.000, 0.000, 4.321]],
  "species": ["Zn", "Al", "Al", "Sm"],
  "frac_coords": [[0.500, 0.000, 0.000], [0.000, 0.000, 0.500], [0.000, 0.500, 0.000], [0.500, 0.500, 0.500]]
}

=====

{
  "formula": "KPtO3",
  "functional": "PBE",
  "state": "optimized geometry",
  "total_energy_ev_per_cell": -103.74,
  "spacegroup": "C2/c (15)",
  "lattice": [[-2.587, 3.297, 3.495], [-3.732, -6.224, 2.835], [5.438, -1.667, 5.324]],
  "species": ["K", "K", "K", "K", "Pt", "Pt", "Pt", "Pt", "O", "O", "O", "O", "O", "O", "O", "O", "O", "O", "O", "O"],
  "frac_coords": [[0.313, 0.602, 0.804], [0.187, 0.196, 0.398], [0.687, 0.398, 0.196], [0.813, 0.804, 0.602], [0.750, 0.925, 0.075], [0.250, 0.075, 0.925], [0.750, 0.231, 0.769], [0.250, 0.769, 0.231], [0.073, 0.840, 0.984], [0.427, 0.016, 0.160], [0.927, 0.160, 0.016], [0.573, 0.984, 0.840], [0.445, 0.295, 0.887], [0.055, 0.113, 0.705], [0.555, 0.705, 0.113], [0.945, 0.887, 0.295], [0.863, 0.463, 0.765], [0.637, 0.235, 0.537], [0.137, 0.537, 0.235], [0.363, 0.765, 0.463]]
}

=====

{
  "formula": "Tb2PrTiN4",
  "functional": "PBE",
  "state": "optimized geometry",
  "total_energy_ev_per_cell": -133.57,
  "spacegroup": "Cmcm (63)",
  "lattice": [[3.445, 0.000, 0.000], [-1.723, 5.958, 0.000], [0.000, 0.000, 11.940]],
  "species": ["Tb", "Tb", "Tb", "Tb", "Pr", "Pr", "Ti", "Ti", "N", "N", "N", "N", "N", "N", "N", "N"],
  "frac_coords": [[0.370, 0.741, 0.539], [0.630, 0.259, 0.039], [0.630, 0.259, 0.461], [0.370, 0.741, 0.961], [0.096, 0.192, 0.750], [0.904, 0.808, 0.250], [0.833, 0.666, 0.750], [0.167, 0.334, 0.250], [0.263, 0.526, 0.124], [0.737, 0.474, 0.624], [0.737, 0.474, 0.876], [0.263, 0.526, 0.376], [0.000, 0.000, 0.500], [0.000, 0.000, 0.000], [0.427, 0.854, 0.750], [0.573, 0.146, 0.250]]
}